1.
Pr5Sm4In2 | GGA-PBE | optimized geometry

a = 3.610 Å, b = 8.533 Å, c = 14.037 Å
α = 121.76°, β = 97.39°, γ = 90.00°
Fractional coordinates of all 11 atoms:
In 0.414 0.508 0.828
Pr 0.873 0.760 0.746
Sm 0.730 0.637 0.461
Pr 0.180 0.879 0.360
Pr 0.820 0.121 0.640
Pr 0.500 0.000 0.000
Sm 0.964 0.279 0.928
Pr 0.127 0.240 0.254
Sm 0.036 0.721 0.072
Sm 0.270 0.363 0.539
In 0.586 0.492 0.172

Values from the calculation:
Fermi-level density of states, states/eV/cell: 15.89
Energy relative to the elements, eV/atom: -0.07
Space group: C2/m (12)

2.
Pr3Sm2In | GGA-PBE | optimized geometry

a = 4.999 Å, b = 5.026 Å, c = 8.195 Å
α = 107.86°, β = 90.00°, γ = 90.00°
Fractional coordinates of all 6 atoms:
Pr 0.500 0.835 0.670
Sm 0.000 0.338 0.676
Pr 0.500 0.500 0.000
Pr 0.500 0.165 0.330
In 0.000 0.000 0.000
Sm 0.000 0.662 0.324

Values from the calculation:
ΔE to the lowest computed polymorph, eV per formula unit: 0.000
Fermi-level density of states, states/eV/cell: 7.64
Energy relative to the elements, eV/atom: -0.15
Space group: Cmmm (65)

3.
PrSmIn | GGA-PBE | optimized geometry

a = 3.754 Å, b = 5.345 Å, c = 5.345 Å
α = 120.00°, β = 90.00°, γ = 90.00°
Fractional coordinates of all 3 atoms:
In 0.641 0.667 0.333
Sm 0.394 0.333 0.667
Pr 0.965 0.000 0.000

Values from the calculation:
ΔE to the lowest computed polymorph, eV per formula unit: 0.286
Fermi-level density of states, states/eV/cell: 2.24
Energy relative to the elements, eV/atom: -0.24
Space group: P3m1 (156)

4.
PrSmIn2 | GGA-PBE | optimized geometry

a = 3.871 Å, b = 3.871 Å, c = 7.725 Å
α = 90.00°, β = 90.00°, γ = 90.00°
Fractional coordinates of all 4 atoms:
Sm 0.500 0.500 0.000
In 0.000 0.000 0.242
In 0.000 0.000 0.758
Pr 0.500 0.500 0.500

Values from the calculation:
Fermi-level density of states, states/eV/cell: 2.40
Energy relative to the elements, eV/atom: -0.49
Space group: P4/mmm (123)

5.
PrSm2In | GGA-PBE | optimized geometry

a = 3.723 Å, b = 3.723 Å, c = 11.184 Å
α = 80.42°, β = 80.42°, γ = 60.00°
Fractional coordinates of all 4 atoms:
Sm 0.076 0.076 0.773
Sm 0.258 0.258 0.226
In 0.667 0.667 0.000
Pr 0.500 0.500 0.501

Values from the calculation:
ΔE to the lowest computed polymorph, eV per formula unit: 0.560
Fermi-level density of states, states/eV/cell: 5.23
Energy relative to the elements, eV/atom: -0.13
Space group: R3m (160)

6.
Pr2Sm8In | GGA-PBE | optimized geometry

a = 5.573 Å, b = 7.746 Å, c = 9.961 Å
α = 112.88°, β = 106.24°, γ = 90.00°
Fractional coordinates of all 11 atoms:
Sm 0.000 0.257 0.000
Sm 0.364 0.592 0.729
In 0.500 0.000 0.000
Sm 0.364 0.136 0.729
Sm 0.176 0.176 0.353
Sm 0.000 0.743 0.000
Sm 0.636 0.864 0.271
Pr 0.193 0.693 0.386
Sm 0.824 0.824 0.647
Pr 0.807 0.307 0.614
Sm 0.636 0.408 0.271

Values from the calculation:
ΔE to the lowest computed polymorph, eV per formula unit: 0.767
Fermi-level density of states, states/eV/cell: 15.31
Energy relative to the elements, eV/atom: 0.01
Space group: Immm (71)

7.
PrSmInSn | GGA-PBE | optimized geometry

a = 4.687 Å, b = 4.416 Å, c = 6.346 Å
α = 90.00°, β = 111.67°, γ = 90.00°
Fractional coordinates of all 4 atoms:
In 0.416 0.000 0.832
Sn 0.585 0.500 0.169
Sm 0.138 0.000 0.275
Pr 0.862 0.500 0.724

Values from the calculation:
ΔE to the lowest computed polymorph, eV per formula unit: 0.000
Fermi-level density of states, states/eV/cell: 3.98
Energy relative to the elements, eV/atom: -0.64
Space group: Amm2 (38)

8.
PrSmInSn | GGA-PBE | optimized geometry

a = 5.481 Å, b = 5.481 Å, c = 5.481 Å
α = 60.00°, β = 60.00°, γ = 60.00°
Fractional coordinates of all 4 atoms:
Sm 0.000 0.000 0.000
In 0.750 0.750 0.750
Sn 0.250 0.250 0.250
Pr 0.500 0.500 0.500

Values from the calculation:
ΔE to the lowest computed polymorph, eV per formula unit: 0.406
Fermi-level density of states, states/eV/cell: 3.18
Energy relative to the elements, eV/atom: -0.54
Space group: F-43m (216)

9.
SrPrSmIn | GGA-PBE | optimized geometry

a = 5.717 Å, b = 5.717 Å, c = 5.717 Å
α = 60.00°, β = 60.00°, γ = 60.00°
Fractional coordinates of all 4 atoms:
In 0.000 0.000 0.000
Sm 0.750 0.750 0.750
Pr 0.250 0.250 0.250
Sr 0.500 0.500 0.500

Values from the calculation:
Fermi-level density of states, states/eV/cell: 4.30
Energy relative to the elements, eV/atom: -0.08
Space group: F-43m (216)

10.
TbPrSm3In | GGA-PBE | optimized geometry

a = 5.188 Å, b = 11.046 Å, c = 7.257 Å
α = 98.36°, β = 90.00°, γ = 103.58°
Fractional coordinates of all 12 atoms:
Pr 0.075 0.151 0.148
Pr 0.925 0.849 0.852
Tb 0.691 0.383 0.054
Sm 0.855 0.710 0.281
Tb 0.309 0.617 0.946
In 0.618 0.237 0.423
Sm 0.757 0.513 0.647
Sm 0.243 0.487 0.353
Sm 0.145 0.290 0.719
Sm 0.467 0.934 0.230
In 0.382 0.763 0.577
Sm 0.533 0.066 0.770

Values from the calculation:
Fermi-level density of states, states/eV/cell: 17.06
Energy relative to the elements, eV/atom: -0.08
Space group: C2/m (12)

11.
Tb2Pr2Sm2In | GGA-PBE | optimized geometry

a = 5.946 Å, b = 4.205 Å, c = 13.008 Å
α = 99.25°, β = 90.00°, γ = 134.99°
Fractional coordinates of all 7 atoms:
Pr 0.290 0.581 0.081
Tb 0.567 0.133 0.627
Sm 0.860 0.721 0.221
Tb 0.433 0.867 0.373
Sm 0.140 0.279 0.779
In 0.000 0.000 0.500
Pr 0.710 0.419 0.919

Values from the calculation:
Fermi-level density of states, states/eV/cell: 11.55
Energy relative to the elements, eV/atom: -0.03
Space group: C2/m (12)

12.
Tb2PrSmIn4 | GGA-PBE | optimized geometry

a = 5.399 Å, b = 5.399 Å, c = 9.365 Å
α = 73.25°, β = 73.25°, γ = 60.00°
Fractional coordinates of all 8 atoms:
Tb 0.750 0.750 0.750
Pr 0.000 0.000 0.000
In 0.126 0.126 0.622
Tb 0.250 0.250 0.250
In 0.874 0.874 0.378
In 0.624 0.624 0.127
Sm 0.500 0.500 0.500
In 0.376 0.376 0.873

Values from the calculation:
Fermi-level density of states, states/eV/cell: 3.46
Energy relative to the elements, eV/atom: -0.48
Space group: R-3m (166)

13.
Tb2Pr3Sm6In | GGA-PBE | optimized geometry

a = 6.253 Å, b = 6.253 Å, c = 11.880 Å
α = 95.11°, β = 95.11°, γ = 120.16°
Fractional coordinates of all 12 atoms:
Sm 0.920 0.594 0.758
Sm 0.080 0.406 0.242
Sm 0.754 0.754 0.244
Pr 0.169 0.831 0.500
Sm 0.594 0.920 0.758
Tb 0.666 0.334 0.000
Pr 0.831 0.169 0.500
In 0.000 0.000 0.000
Sm 0.246 0.246 0.756
Pr 0.500 0.500 0.500
Tb 0.334 0.666 0.000
Sm 0.406 0.080 0.242

Values from the calculation:
Fermi-level density of states, states/eV/cell: 16.02
Energy relative to the elements, eV/atom: -0.04
Space group: C2/m (12)

14.
PrSmIn2Te4 | GGA-PBE | optimized geometry

a = 4.516 Å, b = 8.519 Å, c = 7.821 Å
α = 72.19°, β = 90.00°, γ = 90.00°
Fractional coordinates of all 8 atoms:
Te 0.000 0.728 0.753
Sm 0.000 0.500 0.500
Pr 0.500 0.500 0.000
In 0.500 0.000 0.500
Te 0.000 0.272 0.247
Te 0.500 0.275 0.737
Te 0.500 0.725 0.263
In 0.000 0.000 0.000

Values from the calculation:
Fermi-level density of states, states/eV/cell: 0.30
Space group: P2/m (10)
Uncorrected formation energy, eV/atom: -0.990

15.
PrSmThIn | GGA-PBE | optimized geometry

a = 5.571 Å, b = 5.571 Å, c = 5.571 Å
α = 60.00°, β = 60.00°, γ = 60.00°
Fractional coordinates of all 4 atoms:
Sm 0.750 0.750 0.750
Th 0.000 0.000 0.000
Pr 0.250 0.250 0.250
In 0.500 0.500 0.500

Values from the calculation:
Fermi-level density of states, states/eV/cell: 6.84
Energy relative to the elements, eV/atom: -0.04
Space group: F-43m (216)

16.
Pr3Sm3TlIn2 | GGA-PBE | optimized geometry

a = 3.825 Å, b = 9.236 Å, c = 9.236 Å
α = 120.00°, β = 90.00°, γ = 90.00°
Fractional coordinates of all 9 atoms:
Sm 0.000 0.613 0.613
Tl 0.000 0.000 0.000
In 0.500 0.667 0.333
Sm 0.000 0.000 0.387
Sm 0.000 0.387 0.000
Pr 0.500 0.000 0.713
Pr 0.500 0.713 0.000
Pr 0.500 0.287 0.287
In 0.500 0.333 0.667

Values from the calculation:
Fermi-level density of states, states/eV/cell: 9.06
Energy relative to the elements, eV/atom: -0.30
Space group: P-62m (189)

17.
PrSmTmIn | GGA-PBE | optimized geometry

a = 5.520 Å, b = 5.520 Å, c = 5.522 Å
α = 119.99°, β = 119.99°, γ = 90.00°
Last column: magnetic moment on the atom in μB.
Fractional coordinates of all 4 atoms:
Sm 0.750 0.250 0.500  0.20
In 0.500 0.500 0.000  0.00
Tm 0.250 0.750 0.500  0.29
Pr 0.000 0.000 0.000  0.32

Values from the calculation:
ΔE to the lowest computed polymorph, eV per formula unit: 0.273
Fermi-level density of states, states/eV/cell: 5.83
Energy relative to the elements, eV/atom: -0.09
Space group: F-43m (216)

18.
PrSmTm2In4 | GGA-PBE | optimized geometry

a = 5.363 Å, b = 5.363 Å, c = 9.311 Å
α = 73.26°, β = 73.26°, γ = 60.00°
Fractional coordinates of all 8 atoms:
In 0.376 0.376 0.872
In 0.624 0.624 0.128
Tm 0.250 0.250 0.250
In 0.126 0.126 0.622
Tm 0.750 0.750 0.750
Pr 0.000 0.000 0.000
In 0.874 0.874 0.378
Sm 0.500 0.500 0.500

Values from the calculation:
Fermi-level density of states, states/eV/cell: 3.75
Energy relative to the elements, eV/atom: -0.45
Space group: R-3m (166)

19.
PrSmTmIn | GGA-PBE | optimized geometry

a = 5.537 Å, b = 5.537 Å, c = 5.537 Å
α = 60.00°, β = 60.00°, γ = 60.00°
Fractional coordinates of all 4 atoms:
In 0.250 0.250 0.250
Sm 0.000 0.000 0.000
Tm 0.750 0.750 0.750
Pr 0.500 0.500 0.500

Values from the calculation:
ΔE to the lowest computed polymorph, eV per formula unit: 0.000
Fermi-level density of states, states/eV/cell: 7.57
Energy relative to the elements, eV/atom: -0.16
Space group: F-43m (216)

20.
Pr2Sm6Tm3In | GGA-PBE | optimized geometry

a = 6.168 Å, b = 6.168 Å, c = 11.833 Å
α = 94.98°, β = 94.98°, γ = 120.06°
Fractional coordinates of all 12 atoms:
Tm 0.167 0.833 0.500
Pr 0.666 0.334 0.000
Sm 0.758 0.758 0.254
Tm 0.500 0.500 0.500
Sm 0.242 0.242 0.746
Sm 0.410 0.084 0.253
Sm 0.084 0.410 0.253
Tm 0.833 0.167 0.500
Sm 0.590 0.916 0.747
In 0.000 0.000 0.000
Pr 0.334 0.666 0.000
Sm 0.916 0.590 0.747

Values from the calculation:
Fermi-level density of states, states/eV/cell: 13.64
Energy relative to the elements, eV/atom: -0.05
Space group: C2/m (12)